VASP calculation (PBE) on Mn2TcSbBr after structural relaxation.

Unit cell a=5.050 b=5.050 c=5.738 alpha=90.00 beta=90.00 gamma=90.00
Space group P4/mmm (No. 123)
Inequivalent atoms, fractional coordinates:
Mn 0.000 0.500 0.000 [2 per cell]
Tc 0.000 0.000 0.500 [1 per cell]
Sb 0.500 0.500 0.000 [1 per cell]
Br 0.500 0.500 0.500 [1 per cell]

Output
total energy = -5.33 eV per atom
magnetization = 12.21 μB per cell



VASP calculation (PBE) on TiFeSbRh after structural relaxation.

Unit cell a=6.255 b=6.255 c=6.255 alpha=90.00 beta=90.00 gamma=90.00
Space group F-43m (No. 216)
Inequivalent atoms, fractional coordinates:
Ti 0.000 0.000 0.000 [4 per cell]
Fe 0.250 0.250 0.750 [4 per cell]
Sb 0.000 0.000 0.500 [4 per cell]
Rh 0.250 0.250 0.250 [4 per cell]

Output
total energy = -7.36 eV per atom
magnetization = 7.75 μB per cell



VASP calculation (PBE) on CuReW2 after structural relaxation.

Unit cell a=3.204 b=4.344 c=8.662 alpha=90.00 beta=90.00 gamma=90.00
Space group Cmm2 (No. 35)
Inequivalent atoms, fractional coordinates:
Cu 0.000 0.000 0.000 [2 per cell]
Re 0.000 0.500 0.757 [2 per cell]
W 0.000 0.000 0.503 [2 per cell]
W 0.000 0.500 0.244 [2 per cell]

Output
energy of formation from the pure elements = 0.231 eV per atom
distance to the lowest polymorph of the same formula = 0.0071 eV/atom
total energy = -10.38 eV per atom
magnetization = 0.00 μB per cell



VASP calculation (PBE) on KSi2Pd2 after structural relaxation.

Unit cell a=4.370 b=4.370 c=10.006 alpha=90.00 beta=90.00 gamma=90.00
Space group I4/mmm (No. 139)
Inequivalent atoms, fractional coordinates:
K 0.000 0.000 0.000 [2 per cell]
Si 0.000 0.000 0.368 [4 per cell]
Pd 0.000 0.500 0.250 [4 per cell]

Output
distance to the lowest polymorph of the same formula = 0.0561 eV/atom
total energy = -4.83 eV per atom
magnetization = 0.00 μB per cell



VASP calculation (PBE) on DyZr2Sc after structural relaxation.

Unit cell a=3.2662 b=3.2662 c=32.4010 alpha=90.00 beta=90.00 gamma=120.00
Space group R-3m (No. 166, hexagonal axes)
Inequivalent atoms, fractional coordinates:
Dy 0.0000 0.0000 0.0000 [3 per cell]
Zr 0.0000 0.0000 0.2478 [6 per cell]
Sc 0.0000 0.0000 0.5000 [3 per cell]

Output
energy of formation from the pure elements = 0.088 eV per atom
distance to the lowest polymorph of the same formula = 0.0297 eV/atom
total energy = -6.92 eV per atom
magnetization = 0.00 μB per cell



VASP calculation (PBE) on Pr4NdDy3 after structural relaxation.

Unit cell a=11.773 b=7.379 c=6.367 alpha=90.00 beta=90.00 gamma=90.00
Space group Pmn2_1 (No. 31)
Inequivalent atoms, fractional coordinates:
Pr 0.000 0.129 0.000 [2 per cell]
Pr 0.000 0.870 0.509 [2 per cell]
Pr 0.246 0.126 0.340 [4 per cell]
Nd 0.000 0.624 0.007 [2 per cell]
Dy 0.000 0.379 0.505 [2 per cell]
Dy 0.250 0.379 0.838 [4 per cell]

Output
energy of formation from the pure elements = 0.032 eV per atom
distance to the lowest polymorph of the same formula = 0.0156 eV/atom
total energy = -4.68 eV per atom
magnetization = 0.00 μB per cell



VASP calculation (PBE) on Ba12Au3N5 after structural relaxation.

Unit cell a=17.778 b=17.778 c=17.778 alpha=90.00 beta=90.00 gamma=90.00
Space group Ia-3d (No. 230)
Inequivalent atoms, fractional coordinates:
Ba 0.031 0.049 0.650 [96 per cell]
Au 0.000 0.250 0.125 [24 per cell]
N 0.000 0.000 0.000 [16 per cell]
N 0.000 0.250 0.375 [24 per cell]

Output
total energy = -4.12 eV per atom
magnetization = 3.92 μB per cell



VASP calculation (PBE) on Na2LiTe2 after structural relaxation.

Unit cell a=8.079 b=12.028 c=6.100 alpha=90.00 beta=90.00 gamma=90.00
Space group Ibam (No. 72)
Inequivalent atoms, fractional coordinates:
Na 0.132 0.138 0.000 [8 per cell]
Li 0.000 0.500 0.250 [4 per cell]
Te 0.239 0.387 0.000 [8 per cell]

Output
distance to the lowest polymorph of the same formula = 0.0594 eV/atom
total energy = -2.90 eV per atom
magnetization = 0.00 μB per cell



VASP calculation (PBE) on CsNaB after structural relaxation.

Unit cell a=3.319 b=8.401 c=9.550 alpha=115.43 beta=95.58 gamma=95.68
Space group P1 (No. 1)
Inequivalent atoms, fractional coordinates:
Cs 0.000 0.000 0.000 [1 per cell]
Cs 0.191 0.282 0.567 [1 per cell]
Na 0.147 0.716 0.475 [1 per cell]
Na 0.512 0.527 0.095 [1 per cell]
B 0.416 0.381 0.288 [1 per cell]
B 0.898 0.377 0.282 [1 per cell]

Output
energy of formation from the pure elements = 0.314 eV per atom
distance to the lowest polymorph of the same formula = 0.0234 eV/atom
total energy = -2.64 eV per atom
magnetization = 0.00 μB per cell



VASP calculation (PBE) on Mg2NbO4 after structural relaxation.

Unit cell a=11.135 b=2.962 c=5.344 alpha=90.00 beta=117.03 gamma=90.00
Space group C2/m (No. 12)
Inequivalent atoms, fractional coordinates:
Mg 0.208 0.000 0.212 [4 per cell]
Nb 0.000 0.500 0.500 [2 per cell]
O 0.126 0.500 0.331 [4 per cell]
O 0.138 0.000 0.789 [4 per cell]

Output
total energy = -7.26 eV per atom
magnetization = 0.21 μB per cell



VASP calculation (PBE) on NpFeRh2 after structural relaxation.

Unit cell a=3.289 b=3.289 c=6.048 alpha=90.00 beta=90.00 gamma=90.00
Space group P4/mmm (No. 123)
Inequivalent atoms, fractional coordinates:
Np 0.000 0.000 0.000 [1 per cell]
Fe 0.000 0.000 0.500 [1 per cell]
Rh 0.500 0.500 0.272 [2 per cell]

Output
energy of formation from the pure elements = -0.011 eV per atom
distance to the lowest polymorph of the same formula = 0.3112 eV/atom
total energy = -9.04 eV per atom
magnetization = 6.13 μB per cell



VASP calculation (PBE) on KTiPSe5 after structural relaxation.

Unit cell a=18.787 b=7.456 c=6.930 alpha=90.00 beta=97.78 gamma=90.00
Space group C2/m (No. 12)
Inequivalent atoms, fractional coordinates:
K 0.231 0.000 0.235 [4 per cell]
Ti 0.000 0.224 0.000 [4 per cell]
P 0.136 0.500 0.208 [4 per cell]
Se 0.059 0.000 0.817 [4 per cell]
Se 0.084 0.259 0.323 [8 per cell]
Se 0.084 0.500 0.893 [4 per cell]
Se 0.248 0.000 0.746 [4 per cell]

Output
total energy = -4.75 eV per atom
magnetization = 0.00 μB per cell



VASP calculation (PBE) on NdAs2Rh7Pb2 after structural relaxation.

Unit cell a=5.733 b=5.695 c=14.124 alpha=90.00 beta=96.93 gamma=90.00
Space group C2/m (No. 12)
Inequivalent atoms, fractional coordinates:
Nd 0.000 0.000 0.000 [2 per cell]
As 0.074 0.500 0.250 [4 per cell]
Rh 0.000 0.500 0.000 [2 per cell]
Rh 0.119 0.500 0.423 [4 per cell]
Rh 0.204 0.250 0.844 [8 per cell]
Pb 0.106 0.000 0.389 [4 per cell]

Output
energy of formation from the pure elements = -0.215 eV per atom
total energy = -6.29 eV per atom
magnetization = 0.00 μB per cell



VASP calculation (PBE) on Sr2In6CuRh after structural relaxation.

Unit cell a=10.337 b=10.337 c=10.337 alpha=90.00 beta=90.00 gamma=90.00
Space group Fm-3m (No. 225)
Inequivalent atoms, fractional coordinates:
Sr 0.250 0.250 0.250 [8 per cell]
In 0.000 0.000 0.246 [24 per cell]
Cu 0.000 0.000 0.000 [4 per cell]
Rh 0.000 0.000 0.500 [4 per cell]

Output
energy of formation from the pure elements = -0.212 eV per atom
total energy = -3.34 eV per atom
magnetization = 0.00 μB per cell



VASP calculation (PBE) on Fe3GeB after structural relaxation.

Unit cell a=5.5501 b=5.5501 c=4.0912 alpha=90.00 beta=90.00 gamma=120.00
Space group P6_3/mmc (No. 194)
Inequivalent atoms, fractional coordinates:
Fe 0.1818 0.3636 0.2500 [6 per cell]
Ge 0.3333 0.6667 0.7500 [2 per cell]
B 0.0000 0.0000 0.0000 [2 per cell]

Output
energy of formation from the pure elements = -0.036 eV per atom
distance to the lowest polymorph of the same formula = 0.0000 eV/atom
total energy = -7.37 eV per atom
magnetization = 10.67 μB per cell



VASP calculation (PBE) on SmY4Cd3 after structural relaxation.

Unit cell a=5.3660 b=5.3660 c=27.0742 alpha=90.00 beta=90.00 gamma=120.00
Space group R-3m (No. 166, hexagonal axes)
Inequivalent atoms, fractional coordinates:
Sm 0.0000 0.0000 0.0000 [3 per cell]
Y 0.0000 0.0000 0.1305 [6 per cell]
Y 0.0000 0.0000 0.3861 [6 per cell]
Cd 0.0000 0.0000 0.2586 [6 per cell]
Cd 0.0000 0.0000 0.5000 [3 per cell]

Output
energy of formation from the pure elements = -0.187 eV per atom
total energy = -4.35 eV per atom
magnetization = 3.21 μB per cell



VASP calculation (PBE) on Ho2ZrSc5 after structural relaxation.

Unit cell a=6.629 b=13.267 c=4.670 alpha=90.00 beta=90.00 gamma=90.00
Space group Pbam (No. 55)
Inequivalent atoms, fractional coordinates:
Ho 0.247 0.122 0.000 [4 per cell]
Zr 0.000 0.000 0.500 [2 per cell]
Sc 0.000 0.500 0.500 [2 per cell]
Sc 0.001 0.246 0.500 [4 per cell]
Sc 0.243 0.879 0.000 [4 per cell]

Output
energy of formation from the pure elements = 0.051 eV per atom
total energy = -6.12 eV per atom
magnetization = 0.00 μB per cell



VASP calculation (PBE) on K2Sn12Pt7 after structural relaxation.

Unit cell a=11.3197 b=11.3197 c=4.4029 alpha=90.00 beta=90.00 gamma=120.00
Space group P-6 (No. 174)
Inequivalent atoms, fractional coordinates:
K 0.0000 0.0000 0.0000 [1 per cell]
K 0.3333 0.6667 0.5000 [1 per cell]
Sn 0.0469 0.7820 0.5000 [3 per cell]
Sn 0.1145 0.4169 0.0000 [3 per cell]
Sn 0.3843 0.1983 0.0000 [3 per cell]
Sn 0.5498 0.1101 0.5000 [3 per cell]
Pt 0.0645 0.6360 0.0000 [3 per cell]
Pt 0.2757 0.0324 0.5000 [3 per cell]
Pt 0.6667 0.3333 0.0000 [1 per cell]

Output
energy of formation from the pure elements = -0.406 eV per atom
total energy = -4.81 eV per atom
magnetization = 0.00 μB per cell



VASP calculation (PBE) on TlInMo2 after structural relaxation.

Unit cell a=3.0305 b=3.0305 c=28.7182 alpha=90.00 beta=90.00 gamma=120.00
Space group R-3m (No. 166, hexagonal axes)
Inequivalent atoms, fractional coordinates:
Tl 0.0000 0.0000 0.0000 [3 per cell]
In 0.0000 0.0000 0.5000 [3 per cell]
Mo 0.0000 0.0000 0.2491 [6 per cell]

Output
energy of formation from the pure elements = 0.682 eV per atom
distance to the lowest polymorph of the same formula = 0.3549 eV/atom
total energy = -6.01 eV per atom
magnetization = 0.00 μB per cell



VASP calculation (PBE) on NaScVBr6 after structural relaxation.

Unit cell a=6.7635 b=6.7635 c=13.4577 alpha=90.00 beta=90.00 gamma=120.00
Space group P-31c (No. 163)
Inequivalent atoms, fractional coordinates:
Na 0.0000 0.0000 0.0000 [2 per cell]
Sc 0.3333 0.6667 0.2500 [2 per cell]
V 0.3333 0.6667 0.7500 [2 per cell]
Br 0.0039 0.3605 0.6368 [12 per cell]

Output
total energy = -4.34 eV per atom
magnetization = 6.00 μB per cell